(1)
Material: Rb3VS4
Method: DFT, SCAN
State: single point on PBEsol structure

Results
Symmetry: No. 62
Uncorrected formation energy: -11.097 eV per formula unit
Crystal system: orthorhombic
E_tot: -16.164 eV/atom

The structure in POSCAR format:
```
Rb3VS4
1.0
9.325 0.000 0.000
0.000 10.826 0.000
0.000 0.000 9.350
Rb V S
12 4 16
Direct
0.048 0.043 0.208
0.048 0.457 0.208
0.145 0.750 0.413
0.355 0.250 0.913
0.452 0.543 0.708
0.452 0.957 0.708
0.548 0.043 0.292
0.548 0.457 0.292
0.645 0.750 0.087
0.855 0.250 0.587
0.952 0.543 0.792
0.952 0.957 0.792
0.221 0.750 0.984
0.279 0.250 0.484
0.721 0.750 0.516
0.779 0.250 0.016
0.008 0.750 0.072
0.168 0.086 0.550
0.168 0.414 0.550
0.206 0.750 0.755
0.294 0.250 0.255
0.332 0.586 0.050
0.332 0.914 0.050
0.492 0.250 0.572
0.508 0.750 0.428
0.668 0.086 0.950
0.668 0.414 0.950
0.706 0.750 0.745
0.794 0.250 0.245
0.832 0.586 0.450
0.832 0.914 0.450
0.992 0.250 0.928
```

(2)
Material: RbW3S
Method: DFT, SCAN
State: single point on PBEsol structure

Results
Symmetry: No. 221
Uncorrected formation energy: 9.532 eV per formula unit
Crystal system: cubic
E_tot: -45.980 eV/atom
Relative energy among the computed polymorphs: 0 meV/atom

The structure in POSCAR format:
```
RbW3S
1.0
4.570 0.000 0.000
0.000 4.570 0.000
0.000 0.000 4.570
Rb W S
1 3 1
Direct
0.000 0.000 0.000
0.000 0.500 0.500
0.500 0.000 0.500
0.500 0.500 0.000
0.500 0.500 0.500
```

(3)
Material: RbW3S
Method: DFT, SCAN
State: single point on PBEsol structure

Results
Symmetry: No. 221
Uncorrected formation energy: 23.219 eV per formula unit
Crystal system: cubic
E_tot: -43.243 eV/atom
Relative energy among the computed polymorphs: 2737 meV/atom

The structure in POSCAR format:
```
RbW3S
1.0
4.670 0.000 0.000
0.000 4.670 0.000
0.000 0.000 4.670
Rb W S
1 3 1
Direct
0.000 0.000 0.000
0.000 0.000 0.500
0.000 0.500 0.000
0.500 0.000 0.000
0.500 0.500 0.500
```